1.
CaFeH3 | PBE-GGA | optimized geometry

Computed properties:
Electronic total energy (eV per atom): -4.014
Mass density (Mg/m³): 3.397

Cell: 3.7987 3.7987 7.7408 Å, 90.00 90.00 120.00°
Last column: nearest neighbours and their distance in Å.
Space group P6_3/mmc (No. 194)
Inequivalent atoms, fractional coordinates:
1 Ca 0.3333 0.6667 0.2500 [2 per cell]  3 H 2.19
2 Fe 0.0000 0.0000 0.0000 [2 per cell]  2 H 1.94
3 H 0.0000 0.0000 0.2500 [2 per cell]  2 Fe 1.94
4 H 0.3333 0.6667 0.5734 [4 per cell]  3 Fe 2.27, 3 H 2.47, 1 Ca 2.50

---

2.
Ca2FeH2 | PBE-GGA | optimized geometry

Computed properties:
Electronic total energy (eV per atom): -3.798
Mass density (Mg/m³): 2.630

Cell: 3.6219 3.6219 13.2851 Å, 90.00 90.00 90.00°
Last column: nearest neighbours and their distance in Å.
Space group I4/mmm (No. 139)
Inequivalent atoms, fractional coordinates:
1 Ca 0.0000 0.0000 0.1496 [4 per cell]  4 H 2.25
2 Fe 0.0000 0.0000 0.5000 [2 per cell]  8 Ca 3.24, 4 Fe 3.62
3 H 0.0000 0.5000 0.2500 [4 per cell]  4 Ca 2.25

---

3.
CaFeH3 | PBE-GGA | optimized geometry

Computed properties:
Electronic total energy (eV per atom): -4.434
Mass density (Mg/m³): 3.820

Cell: 3.5036 3.5036 3.5036 Å, 90.00 90.00 90.00°
Last column: nearest neighbours and their distance in Å.
Space group Pm-3m (No. 221)
Inequivalent atoms, fractional coordinates:
1 Ca 0.0000 0.0000 0.0000 [1 per cell]  12 H 2.48
2 Fe 0.5000 0.5000 0.5000 [1 per cell]  6 H 1.75
3 H 0.0000 0.5000 0.5000 [3 per cell]  2 Fe 1.75

---

4.
CaFeH2 | PBE-GGA | optimized geometry

Computed properties:
Distance to the lowest polymorph of the same formula (eV per atom): 0.000
Mass density (Mg/m³): 3.717

Cell: 5.0100 5.0100 6.9724 Å, 90.00 90.00 90.00°
Last column: nearest neighbours and their distance in Å.
Space group I-42d (No. 122)
Inequivalent atoms, fractional coordinates:
1 Ca 0.0000 0.0000 0.0000 [4 per cell]  4 H 2.32
2 Fe 0.0000 0.0000 0.5000 [4 per cell]  4 H 1.70
3 H 0.1501 0.2500 0.6250 [8 per cell]  2 Fe 1.70

---

5.
CaFeH3 | PBE-GGA | optimized geometry

Computed properties:
Electronic total energy (eV per atom): -4.324
Mass density (Mg/m³): 3.100

Cell: 5.6912 4.4303 9.1180 Å, 90.00 112.77 90.00°
Last column: nearest neighbours and their distance in Å.
Space group P2_1/c (No. 14)
Inequivalent atoms, fractional coordinates:
1 Ca 0.2126 0.1931 0.1831 [4 per cell]  6 H 2.17-2.43
2 Fe 0.4123 0.7409 0.4701 [4 per cell]  4 H 1.57-1.67
3 H 0.1545 0.5876 0.8802 [4 per cell]  1 Fe 1.57
4 H 0.2754 0.0885 0.9399 [4 per cell]  2 Fe 1.63-1.78
5 H 0.4617 0.5020 0.1102 [4 per cell]  2 Fe 1.65-1.67

---

6.
CaFeH3 | PBE-GGA | optimized geometry

Computed properties:
Electronic total energy (eV per atom): -3.993
Mass density (Mg/m³): 2.646

Cell: 2.8431 4.3982 9.9329 Å, 90.00 90.00 90.00°
Last column: nearest neighbours and their distance in Å.
Space group Amm2 (No. 38)
Inequivalent atoms, fractional coordinates:
1 Ca 0.0000 0.0000 0.0000 [2 per cell]  4 H 2.08-2.23
2 Fe 0.5000 0.0000 0.6829 [2 per cell]  5 H 1.63-1.72
3 H 0.0000 0.2215 0.6878 [4 per cell]  2 Fe 1.72
4 H 0.5000 0.0000 0.8469 [2 per cell]  1 Fe 1.63

---

7.
CaFeH3 | PBE-GGA | optimized geometry

Computed properties:
Electronic total energy (eV per atom): -3.796
Mass density (Mg/m³): 2.761

Cell: 3.9096 3.9096 15.5738 Å, 90.00 90.00 90.00°
Last column: nearest neighbours and their distance in Å.
Space group I-4m2 (No. 119)
Inequivalent atoms, fractional coordinates:
1 Ca 0.0000 0.0000 0.0000 [2 per cell]  4 H 2.29
2 Ca 0.0000 0.5000 0.2500 [2 per cell]  8 H 2.24-2.30
3 Fe 0.0000 0.5000 0.6773 [4 per cell]  2 H 1.96
4 H 0.0000 0.0000 0.3273 [4 per cell]  2 Fe 1.96
5 H 0.0000 0.3928 0.1089 [8 per cell]  1 H 0.84

---

8.
CaFe2H8 | PBE-GGA | optimized geometry

Computed properties:
Distance to the lowest polymorph of the same formula (eV per atom): 0.000
Mass density (Mg/m³): 3.740

Cell: 5.0653 8.0563 3.4784 Å, 90.00 90.83 90.00°
Last column: nearest neighbours and their distance in Å.
Space group C2/m (No. 12)
Inequivalent atoms, fractional coordinates:
1 Ca 0.0000 0.0000 0.0000 [2 per cell]  12 H 2.30-2.56
2 Fe 0.0000 0.3224 0.5000 [4 per cell]  8 H 1.64-1.75
3 H 0.0000 0.3036 0.0000 [4 per cell]  2 Fe 1.75, 2 H 1.84
4 H 0.0266 0.5000 0.7319 [4 per cell]  1 H 1.63, 2 Fe 1.65
5 H 0.1787 0.1494 0.5045 [8 per cell]  2 Fe 1.64-1.66, 2 H 1.77-1.81